1.
A relaxed HgSF2 crystal. Source: Alexandria via LeMat-Bulk, functional PBE-GGA.

The value obtained for the formation energy without anion corrections is -3.11 eV/f.u. For the total magnetic moment, the calculation gives 0.0 Bohr magnetons per cell. For the density of states at the Fermi level, the calculation gives 7.27 states/eV per cell. Its crystal system is trigonal.

It has space group R-3m (No. 166, hexagonal axes), with a = 2.9718 Å, b = 2.9718 Å, c = 26.4770 Å, α = 90.00°, β = 90.00° and γ = 120.00°. The asymmetric unit holds Hg at (0.0000, 0.0000, 0.0000), S at (0.0000, 0.0000, 0.5000) and F at (0.0000, 0.0000, 0.4339).

2.
A relaxed KNiBr2 crystal. Source: Alexandria via LeMat-Bulk, functional PBE-GGA.

The value obtained for the formation energy without anion corrections is -2.47 eV/f.u. For the total magnetic moment, the calculation gives 3.0 Bohr magnetons per cell. For the density of states at the Fermi level, the calculation gives 17.72 states/eV per cell. Its crystal system is trigonal.

It has space group R-3m (No. 166, hexagonal axes), with a = 4.1425 Å, b = 4.1425 Å, c = 20.9831 Å, α = 90.00°, β = 90.00° and γ = 120.00°. The asymmetric unit holds K at (0.0000, 0.0000, 0.0000), Ni at (0.0000, 0.0000, 0.5000) and Br at (0.0000, 0.0000, 0.2290).

3.
A relaxed Ga2GeAu crystal. Source: Alexandria via LeMat-Bulk, functional PBE-GGA.

The value obtained for the formation energy from the elements is 22 kJ/mol of formula units. For the total magnetic moment, the calculation gives 0.0 Bohr magnetons per cell. For the density of states at the Fermi level, the calculation gives 1.48 states/eV per cell. Its crystal system is tetragonal.

It has space group P4/mmm (No. 123), with a = 4.175 Å, b = 4.175 Å, c = 4.274 Å, α = 90.00°, β = 90.00° and γ = 90.00°. The asymmetric unit holds Ga at (0.000, 0.500, 0.000), Ge at (0.000, 0.000, 0.500) and Au at (0.500, 0.500, 0.500).

4.
A relaxed Ti6Zn5Ni crystal. Source: Alexandria via LeMat-Bulk, functional PBE-GGA.

The value obtained for the formation energy from the elements is -219 kJ/mol of formula units. For the total magnetic moment, the calculation gives 3.9 Bohr magnetons per cell. For the density of states at the Fermi level, the calculation gives 16.48 states/eV per cell. Its crystal system is orthorhombic.

It has space group Immm (No. 71), with a = 4.429 Å, b = 6.261 Å, c = 13.247 Å, α = 90.00°, β = 90.00° and γ = 90.00°. The asymmetric unit holds Ti at (0.000, 0.241, 0.000), Ti at (0.000, 0.256, 0.338), Zn at (0.000, 0.000, 0.172), Zn at (0.000, 0.000, 0.500), Zn at (0.000, 0.500, 0.167) and Ni at (0.000, 0.500, 0.500).

5.
A relaxed VC2Br crystal. Source: Alexandria via LeMat-Bulk, functional PBE-GGA.

The value obtained for the formation energy without anion corrections is 6.01 eV/f.u. For the total magnetic moment, the calculation gives 0.0 Bohr magnetons per cell. For the density of states at the Fermi level, the calculation gives 11.95 states/eV per cell. Its crystal system is tetragonal.

It has space group I-42d (No. 122), with a = 5.165 Å, b = 5.165 Å, c = 9.674 Å, α = 90.00°, β = 90.00° and γ = 90.00°. The asymmetric unit holds V at (0.000, 0.000, 0.000), C at (0.145, 0.250, 0.125) and Br at (0.000, 0.000, 0.500).

6.
A relaxed RbAlSe2 crystal. Source: Alexandria via LeMat-Bulk, functional PBE-GGA.

The value obtained for the formation energy without anion corrections is -4.30 eV/f.u. For the total magnetic moment, the calculation gives 0.0 Bohr magnetons per cell. For the density of states at the Fermi level, the calculation gives 0.00 states/eV per cell. Its crystal system is monoclinic.

It has space group C2/m (No. 12), with a = 10.109 Å, b = 13.667 Å, c = 3.956 Å, α = 90.00°, β = 90.21° and γ = 90.00°. The asymmetric unit holds Rb at (0.250, 0.250, 0.000), Al at (0.150, 0.000, 0.502), Se at (0.000, 0.139, 0.500) and Se at (0.207, 0.500, 0.996).

7.
A relaxed HfScVN2 crystal. Source: Alexandria via LeMat-Bulk, functional PBE-GGA.

The value obtained for the formation energy without anion corrections is 5.82 eV/f.u. For the total magnetic moment, the calculation gives 0.2 Bohr magnetons per cell. For the density of states at the Fermi level, the calculation gives 6.25 states/eV per cell. Its crystal system is tetragonal.

It has space group P4/mmm (No. 123), with a = 4.116 Å, b = 4.116 Å, c = 5.585 Å, α = 90.00°, β = 90.00° and γ = 90.00°. The asymmetric unit holds Hf at (0.000, 0.000, 0.000), Sc at (0.000, 0.000, 0.500), V at (0.500, 0.500, 0.500) and N at (0.000, 0.500, 0.000).

8.
A relaxed BePtCl2 crystal. Source: Alexandria via LeMat-Bulk, functional PBE-GGA.

The value obtained for the formation energy without anion corrections is 0.98 eV/f.u. For the total magnetic moment, the calculation gives 0.0 Bohr magnetons per cell. For the density of states at the Fermi level, the calculation gives 3.84 states/eV per cell. Its crystal system is orthorhombic.

It has space group Fmmm (No. 69), with a = 6.073 Å, b = 6.863 Å, c = 6.923 Å, α = 90.00°, β = 90.00° and γ = 90.00°. The asymmetric unit holds Be at (0.000, 0.000, 0.000), Pt at (0.000, 0.000, 0.500) and Cl at (0.000, 0.250, 0.250).

9.
A relaxed NaPm2ErTl4 crystal. Source: Alexandria via LeMat-Bulk, functional PBE-GGA.

The value obtained for the formation energy from the elements is -235 kJ/mol of formula units. For the total magnetic moment, the calculation gives 0.0 Bohr magnetons per cell. For the density of states at the Fermi level, the calculation gives 17.62 states/eV per cell. Its crystal system is trigonal.

It has space group R-3m (No. 166, hexagonal axes), with a = 5.3802 Å, b = 5.3802 Å, c = 26.7824 Å, α = 90.00°, β = 90.00° and γ = 120.00°. The asymmetric unit holds Na at (0.0000, 0.0000, 0.0000), Pm at (0.0000, 0.0000, 0.2550), Er at (0.0000, 0.0000, 0.5000), Tl at (0.0000, 0.0000, 0.1259) and Tl at (0.0000, 0.0000, 0.3765).

10.
A relaxed PtO crystal. Source: Alexandria via LeMat-Bulk, functional PBE-GGA.

The value obtained for the formation energy without anion corrections is 1.42 eV/f.u. For the total magnetic moment, the calculation gives 0.0 Bohr magnetons per cell. For the density of states at the Fermi level, the calculation gives 11.72 states/eV per cell. Its crystal system is cubic.

It has space group Pm-3n (No. 223), with a = 6.087 Å, b = 6.087 Å, c = 6.087 Å, α = 90.00°, β = 90.00° and γ = 90.00°. The asymmetric unit holds Pt at (0.000, 0.250, 0.500) and O at (0.000, 0.500, 0.250).

11.
A relaxed Ag3Pd3Au crystal. Source: Alexandria via LeMat-Bulk, functional PBE-GGA.

The value obtained for the formation energy from the elements is -25 kJ/mol of formula units. For the total magnetic moment, the calculation gives 0.0 Bohr magnetons per cell. For the density of states at the Fermi level, the calculation gives 5.77 states/eV per cell. Its crystal system is hexagonal.

It has space group P6_3/m (No. 176), with a = 7.5765 Å, b = 7.5765 Å, c = 4.7287 Å, α = 90.00°, β = 90.00° and γ = 120.00°. The asymmetric unit holds Ag at (0.0936, 0.6240, 0.2500), Pd at (0.0475, 0.8141, 0.7500) and Au at (0.3333, 0.6667, 0.7500).

12.
A relaxed BaSiTc2 crystal. Source: Alexandria via LeMat-Bulk, functional PBE-GGA.

The value obtained for the formation energy without anion corrections is 4.03 eV/f.u. For the total magnetic moment, the calculation gives 0.0 Bohr magnetons per cell. For the density of states at the Fermi level, the calculation gives 13.80 states/eV per cell. Its crystal system is cubic.

It has space group F-43m (No. 216), with a = 6.781 Å, b = 6.781 Å, c = 6.781 Å, α = 90.00°, β = 90.00° and γ = 90.00°. The asymmetric unit holds Ba at (0.000, 0.000, 0.000), Si at (0.250, 0.250, 0.750), Tc at (0.000, 0.000, 0.500) and Tc at (0.250, 0.250, 0.250).

13.
A relaxed SrRh2Br crystal. Source: Alexandria via LeMat-Bulk, functional PBE-GGA.

The value obtained for the formation energy without anion corrections is 1.37 eV/f.u. For the total magnetic moment, the calculation gives 5.1 Bohr magnetons per cell. For the density of states at the Fermi level, the calculation gives 16.39 states/eV per cell. Its crystal system is cubic.

It has space group Fm-3m (No. 225), with a = 6.852 Å, b = 6.852 Å, c = 6.852 Å, α = 90.00°, β = 90.00° and γ = 90.00°. The asymmetric unit holds Sr at (0.000, 0.000, 0.000), Rh at (0.250, 0.250, 0.250) and Br at (0.000, 0.000, 0.500).

14.
A relaxed Tb2NdY6Er3 crystal. Source: Alexandria via LeMat-Bulk, functional PBE-GGA.

The value obtained for the formation energy from the elements is 25 kJ/mol of formula units. For the total magnetic moment, the calculation gives 0.0 Bohr magnetons per cell. For the density of states at the Fermi level, the calculation gives 34.55 states/eV per cell. Its crystal system is monoclinic.

It has space group C2/m (No. 12), with a = 6.173 Å, b = 10.681 Å, c = 11.806 Å, α = 90.00°, β = 99.99° and γ = 90.00°. The asymmetric unit holds Tb at (0.000, 0.167, 0.000), Nd at (0.000, 0.500, 0.000), Y at (0.248, 0.167, 0.748), Y at (0.249, 0.500, 0.748), Er at (0.000, 0.000, 0.500) and Er at (0.000, 0.333, 0.500).

15.
A relaxed MoRu3Cl crystal. Source: Alexandria via LeMat-Bulk, functional PBE-GGA.

The value obtained for the formation energy without anion corrections is 8.84 eV/f.u. For the total magnetic moment, the calculation gives 4.1 Bohr magnetons per cell. For the density of states at the Fermi level, the calculation gives 5.00 states/eV per cell. Its crystal system is cubic.

It has space group Pm-3m (No. 221), with a = 4.761 Å, b = 4.761 Å, c = 4.761 Å, α = 90.00°, β = 90.00° and γ = 90.00°. The asymmetric unit holds Mo at (0.000, 0.000, 0.000), Ru at (0.000, 0.000, 0.500) and Cl at (0.500, 0.500, 0.500).

16.
A relaxed KAlTl2 crystal. Source: Alexandria via LeMat-Bulk, functional PBE-GGA.

The value obtained for the formation energy from the elements is 64 kJ/mol of formula units. For the total magnetic moment, the calculation gives 0.0 Bohr magnetons per cell. For the density of states at the Fermi level, the calculation gives 3.83 states/eV per cell. Its crystal system is orthorhombic.

It has space group Imm2 (No. 44), with a = 4.047 Å, b = 5.527 Å, c = 11.084 Å, α = 90.00°, β = 90.00° and γ = 90.00°. The asymmetric unit holds K at (0.000, 0.000, 0.000), Al at (0.000, 0.500, 0.239), Tl at (0.000, 0.000, 0.543) and Tl at (0.000, 0.500, 0.782).

17.
A relaxed PuOs4 crystal. Source: Alexandria via LeMat-Bulk, functional PBE-GGA.

The value obtained for the formation energy from the elements is 1302 kJ/mol of formula units. For the total magnetic moment, the calculation gives 1.7 Bohr magnetons per cell. For the density of states at the Fermi level, the calculation gives 8.94 states/eV per cell. Its crystal system is cubic.

It has space group Pm-3m (No. 221), with a = 4.686 Å, b = 4.686 Å, c = 4.686 Å, α = 90.00°, β = 90.00° and γ = 90.00°. The asymmetric unit holds Pu at (0.000, 0.000, 0.000), Os at (0.000, 0.000, 0.500) and Os at (0.500, 0.500, 0.500).

18.
A relaxed TaZnCd crystal. Source: Alexandria via LeMat-Bulk, functional PBE-GGA.

The value obtained for the formation energy from the elements is 25 kJ/mol of formula units. For the total magnetic moment, the calculation gives 0.0 Bohr magnetons per cell. For the density of states at the Fermi level, the calculation gives 3.55 states/eV per cell. Its crystal system is tetragonal.

It has space group P4/nmm (No. 129, origin choice 2), with a = 2.885 Å, b = 2.885 Å, c = 13.051 Å, α = 90.00°, β = 90.00° and γ = 90.00°. The asymmetric unit holds Ta at (0.250, 0.250, 0.088), Zn at (0.250, 0.250, 0.759) and Cd at (0.250, 0.250, 0.404).